# 1
# CsBa2LiPt

A relaxed structure of CsBa2LiPt (PBE, Alexandria via LeMat-Bulk).

Geometry as POSCAR:
```
CsBa2LiPt
1.0
6.2511 0.0000 0.0000
0.0000 6.2511 0.0000
0.0000 0.0000 5.7280
Li Pt Ba Cs
1 1 2 1
direct
0.0000 0.0000 0.5000 Li
0.0000 0.0000 0.0000 Pt
0.0000 0.5000 0.0000 Ba
0.5000 0.0000 0.0000 Ba
0.5000 0.5000 0.5000 Cs
```

Computed properties:
As for the symmetry: No. 123. The value obtained for the energy of formation is -181 meV per atom.



# 2
# CsRbBa2Li

A relaxed structure of CsRbBa2Li (PBE, Alexandria via LeMat-Bulk).

Geometry as POSCAR:
```
CsRbBa2Li
1.0
6.9859 0.0000 0.0000
0.0000 6.9859 0.0000
0.0000 0.0000 7.5918
Ba Rb Li Cs
2 1 1 1
direct
0.5000 0.0000 0.0000 Ba
0.0000 0.5000 0.0000 Ba
0.5000 0.5000 0.5000 Rb
0.0000 0.0000 0.0000 Li
0.0000 0.0000 0.5000 Cs
```

Computed properties:
As for the symmetry: No. 123. The value obtained for the energy of formation is 212 meV per atom. As for the relative energy among the computed polymorphs: 9.1 meV/atom.



# 3
# CsRbBa2Li

A relaxed structure of CsRbBa2Li (PBE, Alexandria via LeMat-Bulk).

Geometry as POSCAR:
```
CsRbBa2Li
1.0
-2.0147 -2.3542 6.2529
-5.6551 -2.8774 -2.9054
3.8452 -6.3819 -1.1638
Cs Ba Li Rb
1 2 1 1
direct
0.5000 0.5000 0.5000 Cs
0.5000 0.0000 0.0000 Ba
0.0000 0.5000 0.0000 Ba
0.0000 0.0000 0.0000 Li
0.0000 0.0000 0.5000 Rb
```

Computed properties:
As for the symmetry: No. 123. The value obtained for the energy of formation is 202 meV per atom. As for the relative energy among the computed polymorphs: 0.0 meV/atom.



# 4
# CsRb2BaLi

A relaxed structure of CsRb2BaLi (PBE, Alexandria via LeMat-Bulk).

Geometry as POSCAR:
```
CsRb2BaLi
1.0
-1.9139 -4.8754 -5.2329
1.3032 -5.5641 4.7073
-6.8446 0.2879 2.2352
Cs Rb Ba Li
1 2 1 1
direct
0.5000 0.5000 0.5000 Cs
0.5000 0.0000 0.0000 Rb
0.0000 0.5000 0.0000 Rb
0.0000 0.0000 0.5000 Ba
0.0000 0.0000 0.0000 Li
```

Computed properties:
As for the symmetry: No. 123. The value obtained for the energy of formation is 187 meV per atom.



# 5
# CsBaLi2Rh

A relaxed structure of CsBaLi2Rh (PBE, Alexandria via LeMat-Bulk).

Geometry as POSCAR:
```
CsBaLi2Rh
1.0
5.5183 0.0000 0.0000
0.0000 5.4855 0.0000
0.0000 0.0000 5.5183
Ba Li Cs Rh
1 2 1 1
direct
0.5000 0.5000 0.5000 Ba
0.5000 0.0000 0.0000 Li
0.0000 0.0000 0.5000 Li
0.0000 0.0000 0.0000 Cs
0.0000 0.5000 0.0000 Rh
```

Computed properties:
As for the symmetry: No. 123. The value obtained for the energy of formation is 722 meV per atom.



# 6
# CsBa2Li2Sb2

A relaxed structure of CsBa2Li2Sb2 (PBE, Alexandria via LeMat-Bulk).

Geometry as POSCAR:
```
CsBa2Li2Sb2
1.0
5.2044 0.0000 0.0000
2.6022 4.5072 0.0000
2.6022 1.5024 11.7085
Ba Sb Cs Li
2 2 1 2
direct
0.8688 0.8688 0.3935 Ba
0.1312 0.1312 0.6065 Ba
0.7505 0.7505 0.7484 Sb
0.2495 0.2495 0.2516 Sb
0.0000 0.0000 0.0000 Cs
0.4127 0.4127 0.7618 Li
0.5873 0.5873 0.2382 Li
```

Computed properties:
The formation energy from raw total energies comes out at -0.64 eV per atom. As for the symmetry: No. 166.



# 7
# CsBa2LiTl

A relaxed structure of CsBa2LiTl (PBE, Alexandria via LeMat-Bulk).

Geometry as POSCAR:
```
CsBa2LiTl
1.0
6.9280 0.0000 0.0000
0.0000 6.9280 0.0000
0.0000 0.0000 5.7726
Tl Cs Ba Li
1 1 2 1
direct
0.0000 0.0000 0.0000 Tl
0.5000 0.5000 0.5000 Cs
0.5000 0.0000 0.0000 Ba
0.0000 0.5000 0.0000 Ba
0.0000 0.0000 0.5000 Li
```

Computed properties:
As for the symmetry: No. 123. The value obtained for the energy of formation is 19 meV per atom.



# 8
# CsBa2LiZn

A relaxed structure of CsBa2LiZn (PBE, Alexandria via LeMat-Bulk).

Geometry as POSCAR:
```
CsBa2LiZn
1.0
6.7087 0.0000 0.0000
0.0000 6.7087 0.0000
0.0000 0.0000 5.6773
Li Cs Ba Zn
1 1 2 1
direct
0.0000 0.0000 0.5000 Li
0.5000 0.5000 0.5000 Cs
0.0000 0.5000 0.0000 Ba
0.5000 0.0000 0.0000 Ba
0.0000 0.0000 0.0000 Zn
```

Computed properties:
As for the symmetry: No. 123. The value obtained for the energy of formation is 111 meV per atom.



# 9
# Cs2Ba2Mg

A relaxed structure of Cs2Ba2Mg (PBE, Alexandria via LeMat-Bulk).

Geometry as POSCAR:
```
Cs2Ba2Mg
1.0
-3.1745 -1.7560 8.8549
7.7030 -5.4213 1.6865
3.9524 6.4549 2.6970
Cs Ba Mg
4 4 2
direct
0.8207 0.6793 0.5000 Cs
0.3207 0.8207 0.5000 Cs
0.6793 0.1793 0.5000 Cs
0.1793 0.3207 0.5000 Cs
0.3356 0.1644 0.0000 Ba
0.6644 0.8356 0.0000 Ba
0.8356 0.3356 0.0000 Ba
0.1644 0.6644 0.0000 Ba
0.0000 0.0000 0.0000 Mg
0.5000 0.5000 0.0000 Mg
```

Computed properties:
As for the symmetry: No. 127. The value obtained for the energy of formation is 230 meV per atom.



# 10
# CsBa2Mg2

A relaxed structure of CsBa2Mg2 (PBE, Alexandria via LeMat-Bulk).

Geometry as POSCAR:
```
CsBa2Mg2
1.0
10.8296 0.0000 0.0000
0.0000 10.8296 0.0000
0.0000 0.0000 4.1644
Mg Ba Cs
4 4 2
direct
0.3431 0.1569 0.5000 Mg
0.1569 0.6569 0.5000 Mg
0.6569 0.8431 0.5000 Mg
0.8431 0.3431 0.5000 Mg
0.1328 0.3672 0.0000 Ba
0.8672 0.6328 0.0000 Ba
0.3672 0.8672 0.0000 Ba
0.6328 0.1328 0.0000 Ba
0.0000 0.0000 0.0000 Cs
0.5000 0.5000 0.0000 Cs
```

Computed properties:
As for the symmetry: No. 127. The value obtained for the energy of formation is 103 meV per atom.



# 11
# CsBaMg6

A relaxed structure of CsBaMg6 (PBE, Alexandria via LeMat-Bulk).

Geometry as POSCAR:
```
CsBaMg6
1.0
4.2736 -6.5067 0.0000
4.2736 6.5067 0.0000
0.0000 0.0000 5.2723
Cs Mg Ba
1 6 1
direct
0.1028 0.8972 0.0000 Cs
0.4956 0.1417 0.5000 Mg
0.0139 0.3628 0.0000 Mg
0.6043 0.3957 0.0000 Mg
0.8872 0.1128 0.5000 Mg
0.6372 0.9861 0.0000 Mg
0.8583 0.5044 0.5000 Mg
0.4006 0.5994 0.5000 Ba
```

Computed properties:
As for the symmetry: No. 38. The value obtained for the energy of formation is 159 meV per atom. As for the relative energy among the computed polymorphs: 0.0 meV/atom.



# 12
# CsBaMg2

A relaxed structure of CsBaMg2 (PBE, Alexandria via LeMat-Bulk).

Geometry as POSCAR:
```
CsBaMg2
1.0
10.1715 0.0000 0.0000
0.0000 10.1715 0.0000
5.0858 5.0858 3.9552
Ba Mg Cs
2 4 2
direct
0.7500 0.2500 0.5000 Ba
0.0000 0.0000 0.0000 Ba
0.1109 0.6250 0.2500 Mg
0.6391 0.1250 0.2500 Mg
0.3750 0.3609 0.7500 Mg
0.8750 0.8891 0.7500 Mg
0.5000 0.5000 0.0000 Cs
0.2500 0.7500 0.5000 Cs
```

Computed properties:
As for the symmetry: No. 122. The value obtained for the energy of formation is 380 meV per atom. As for the relative energy among the computed polymorphs: 169.7 meV/atom.



Number 1: volume 224 Å³/cell. Number 2: volume 371 Å³/cell. Number 3: volume 367 Å³/cell. Number 4: volume 395 Å³/cell. Number 5: volume 167 Å³/cell. Number 6: volume 275 Å³/cell. Number 7: volume 277 Å³/cell. Number 8: volume 256 Å³/cell. Number 9: volume 736 Å³/cell. Number 10: volume 488 Å³/cell. Number 11: volume 293 Å³/cell. Number 12: volume 409 Å³/cell.